# 1
# ThMnPt6

A relaxed structure of ThMnPt6 (PBE-GGA, Alexandria via LeMat-Bulk).

The structure belongs to space group P4/mmm (No. 123); the cell edges are 4.125, 4.125 and 8.084 Å and the angles 90.00°, 90.00° and 90.00°. The distinct sites, in fractional coordinates, are Th at (0.000, 0.000, 0.000), Mn at (0.000, 0.000, 0.500), Pt at (0.000, 0.500, 0.268), Pt at (0.500, 0.500, 0.000) and Pt at (0.500, 0.500, 0.500).

For the energy relative to the elements, the calculation gives -0.70 eV per atom. The density of states at the Fermi level is 0.8714 states/eV/atom. Its spin magnetization is 4.605 μB per cell.

# 2
# Th2MnPt

A relaxed structure of Th2MnPt (PBE-GGA, Alexandria via LeMat-Bulk).

The structure belongs to space group R-3m (No. 166, hexagonal axes); the cell edges are 3.8491, 3.8491 and 26.0817 Å and the angles 90.00°, 90.00° and 120.00°. The distinct sites, in fractional coordinates, are Th at (0.0000, 0.0000, 0.0940), Mn at (0.0000, 0.0000, 0.0000) and Pt at (0.0000, 0.0000, 0.5000).

For the energy relative to the elements, the calculation gives 0.18 eV per atom. The density of states at the Fermi level is 0.9804 states/eV/atom. Its spin magnetization is 4.425 μB per cell.

# 3
# TiMn3Pt6

A relaxed structure of TiMn3Pt6 (PBE-GGA, Alexandria via LeMat-Bulk).

The structure belongs to space group P2_1/m (No. 11); the cell edges are 8.538, 3.999 and 8.953 Å and the angles 90.00°, 93.24° and 90.00°. The distinct sites, in fractional coordinates, are Ti at (0.060, 0.250, 0.381), Mn at (0.250, 0.250, 0.013), Mn at (0.347, 0.750, 0.804), Mn at (0.446, 0.250, 0.601), Pt at (0.060, 0.750, 0.901), Pt at (0.147, 0.250, 0.695), Pt at (0.152, 0.750, 0.206), Pt at (0.245, 0.750, 0.505), Pt at (0.364, 0.250, 0.310) and Pt at (0.458, 0.750, 0.102).

For the energy relative to the elements, the calculation gives -0.53 eV per atom. The density of states at the Fermi level is 0.5000 states/eV/atom. Its spin magnetization is 25.783 μB per cell.

# 4
# TiMn2Pt

A relaxed structure of TiMn2Pt (PBE-GGA, Alexandria via LeMat-Bulk).

The structure belongs to space group Fm-3m (No. 225); the cell edges are 6.112, 6.112 and 6.112 Å and the angles 90.00°, 90.00° and 90.00°. The distinct sites, in fractional coordinates, are Ti at (0.000, 0.000, 0.000), Mn at (0.250, 0.250, 0.250) and Pt at (0.000, 0.000, 0.500).

For the energy relative to the elements, the calculation gives -0.32 eV per atom. The density of states at the Fermi level is 1.0860 states/eV/atom. Its spin magnetization is 20.623 μB per cell.

# 5
# TiMn2Pt

A relaxed structure of TiMn2Pt (PBE-GGA, Alexandria via LeMat-Bulk).

The structure belongs to space group I-42d (No. 122); the cell edges are 3.613, 3.613 and 17.971 Å and the angles 90.00°, 90.00° and 90.00°. The distinct sites, in fractional coordinates, are Ti at (0.000, 0.000, 0.000), Mn at (0.182, 0.250, 0.125) and Pt at (0.000, 0.000, 0.500).

For the energy relative to the elements, the calculation gives 0.21 eV per atom. The density of states at the Fermi level is 1.2728 states/eV/atom. Its spin magnetization is 4.178 μB per cell.

# 6
# TiMn2Pt8

A relaxed structure of TiMn2Pt8 (PBE-GGA, Alexandria via LeMat-Bulk).

The structure belongs to space group C2/m (No. 12); the cell edges are 14.108, 3.962 and 6.278 Å and the angles 90.00°, 106.61° and 90.00°. The distinct sites, in fractional coordinates, are Ti at (0.000, 0.000, 0.000), Mn at (0.224, 0.500, 0.646), Pt at (0.045, 0.500, 0.727), Pt at (0.097, 0.000, 0.449), Pt at (0.137, 0.500, 0.186) and Pt at (0.181, 0.000, 0.916).

For the energy relative to the elements, the calculation gives -0.49 eV per atom. The density of states at the Fermi level is 0.9502 states/eV/atom. Its spin magnetization is 15.931 μB per cell.

# 7
# Ti6MnPt12

A relaxed structure of Ti6MnPt12 (PBE-GGA, Alexandria via LeMat-Bulk).

The structure belongs to space group R-3 (No. 148, hexagonal axes); the cell edges are 9.6139, 9.6139 and 11.3867 Å and the angles 90.00°, 90.00° and 120.00°. The distinct sites, in fractional coordinates, are Ti at (0.0160, 0.4237, 0.2126), Mn at (0.0000, 0.0000, 0.5000), Pt at (0.0350, 0.1835, 0.3284) and Pt at (0.0548, 0.8401, 0.9102).

For the energy relative to the elements, the calculation gives -0.71 eV per atom. The density of states at the Fermi level is 0.7368 states/eV/atom. Its spin magnetization is 8.136 μB per cell.

# 8
# TiMn5Pt6

A relaxed structure of TiMn5Pt6 (PBE-GGA, Alexandria via LeMat-Bulk).

The structure belongs to space group C2/m (No. 12); the cell edges are 13.615, 5.749 and 4.640 Å and the angles 90.00°, 95.81° and 90.00°. The distinct sites, in fractional coordinates, are Ti at (0.000, 0.000, 0.000), Mn at (0.000, 0.500, 0.000), Mn at (0.167, 0.000, 0.667), Mn at (0.167, 0.500, 0.668), Pt at (0.000, 0.250, 0.500) and Pt at (0.166, 0.250, 0.167).

For the energy relative to the elements, the calculation gives -0.47 eV per atom. The density of states at the Fermi level is 0.6285 states/eV/atom. Its spin magnetization is 41.268 μB per cell.

# 9
# Ti2MnPt3

A relaxed structure of Ti2MnPt3 (PBE-GGA, Alexandria via LeMat-Bulk).

The structure belongs to space group P4/mmm (No. 123); the cell edges are 2.860, 2.860 and 11.296 Å and the angles 90.00°, 90.00° and 90.00°. The distinct sites, in fractional coordinates, are Ti at (0.000, 0.000, 0.170), Mn at (0.000, 0.000, 0.500), Pt at (0.500, 0.500, 0.000) and Pt at (0.500, 0.500, 0.336).

For the energy relative to the elements, the calculation gives -0.74 eV per atom. The density of states at the Fermi level is 0.7691 states/eV/atom. Its spin magnetization is 5.119 μB per cell.

# 10
# Ti2MnPt2

A relaxed structure of Ti2MnPt2 (PBE-GGA, Alexandria via LeMat-Bulk).

The structure belongs to space group P4/mbm (No. 127); the cell edges are 7.053, 7.053 and 3.182 Å and the angles 90.00°, 90.00° and 90.00°. The distinct sites, in fractional coordinates, are Ti at (0.163, 0.337, 0.000), Mn at (0.000, 0.000, 0.000) and Pt at (0.142, 0.642, 0.500).

For the energy relative to the elements, the calculation gives -0.30 eV per atom. The density of states at the Fermi level is 1.0386 states/eV/atom. For the energy relative to the lowest polymorph listed for this composition, the calculation gives 0.000 eV/atom. Its spin magnetization is 0.000 μB per cell.

# 11
# TiMnPt2

A relaxed structure of TiMnPt2 (PBE-GGA, Alexandria via LeMat-Bulk).

The structure belongs to space group I-42d (No. 122); the cell edges are 3.906, 3.906 and 17.465 Å and the angles 90.00°, 90.00° and 90.00°. The distinct sites, in fractional coordinates, are Ti at (0.000, 0.000, 0.000), Mn at (0.000, 0.000, 0.500) and Pt at (0.246, 0.250, 0.625).

For the energy relative to the elements, the calculation gives -0.19 eV per atom. The density of states at the Fermi level is 0.7304 states/eV/atom. Its spin magnetization is 11.254 μB per cell.

# 12
# Ti4Mn3Pt

A relaxed structure of Ti4Mn3Pt (PBE-GGA, Alexandria via LeMat-Bulk).

The structure belongs to space group Pmmm (No. 47); the cell edges are 3.044, 4.328 and 8.414 Å and the angles 90.00°, 90.00° and 90.00°. The distinct sites, in fractional coordinates, are Ti at (0.000, 0.000, 0.000), Ti at (0.000, 0.000, 0.500), Ti at (0.000, 0.500, 0.234), Mn at (0.500, 0.000, 0.251), Mn at (0.500, 0.500, 0.000) and Pt at (0.500, 0.500, 0.500).

For the energy relative to the elements, the calculation gives -0.46 eV per atom. The density of states at the Fermi level is 0.7094 states/eV/atom. Its spin magnetization is 0.682 μB per cell.

Q: Which formula does entry 1 have?
A: ThMnPt6